A plane-wave DFT calculation with PBE was carried out for a relaxed structure of La6FeCu2I3.

a = 7.373 Å, b = 7.373 Å, c = 8.549 Å
α = 98.31°, β = 98.31°, γ = 119.82°
Positions (direct):
La  0.938  0.629  0.812
La  0.754  0.754  0.190
La  0.062  0.371  0.188
La  0.629  0.938  0.812
La  0.246  0.246  0.810
La  0.371  0.062  0.188
Fe  0.000  0.000  0.000
Cu  0.334  0.666  0.000
Cu  0.666  0.334  0.000
I  0.168  0.832  0.500
I  0.832  0.168  0.500
I  0.500  0.500  0.500

## Properties
**Formation energy from raw total energies**: -582 meV per atom
**Total DFT energy (no corrections)**: -4.8212 eV/atom
**D(E_F)**: 9.287 states/eV/cell
**Total magnetization**: 0.0 μB per cell
**Density**: 6.01 g/cm3